No. 1
{"formula": "LiAlP", "functional": "PBE-GGA", "state": "relaxed", "cell": [[-1.5089, 1.5089, 5.5792], [1.5089, -1.5089, 5.5792], [1.5089, 1.5089, -5.5792]], "species": ["Li", "Al", "P"], "fractional_positions": [[0.0000, 0.0000, 0.0000], [0.7083, 0.7083, 0.0000], [0.3399, 0.3399, 0.0000]], "formation_enthalpy_0k_ev_per_atom": -0.09, "space_group": "I4mm, No. 107"}


No. 2
{"formula": "Zn6CoCu3", "functional": "PBE-GGA", "state": "relaxed", "cell": [[7.0699, 0.0000, 0.0000], [0.0000, 4.2619, 0.0000], [-3.2781, 0.0000, 8.7456]], "species": ["Zn", "Zn", "Zn", "Zn", "Zn", "Zn", "Zn", "Zn", "Zn", "Zn", "Zn", "Zn", "Co", "Co", "Cu", "Cu", "Cu", "Cu", "Cu", "Cu"], "fractional_positions": [[0.0007, 0.2500, 0.3375], [0.0047, 0.2500, 0.8339], [0.2128, 0.2500, 0.6413], [0.2164, 0.7500, 0.9758], [0.3970, 0.2500, 0.4299], [0.4202, 0.7500, 0.7801], [0.5798, 0.2500, 0.2199], [0.6030, 0.7500, 0.5701], [0.7836, 0.2500, 0.0242], [0.7872, 0.7500, 0.3587], [0.9953, 0.7500, 0.1661], [0.9993, 0.7500, 0.6625], [0.4051, 0.2500, 0.9365], [0.5949, 0.7500, 0.0635], [0.1898, 0.2500, 0.1297], [0.2050, 0.7500, 0.4705], [0.3949, 0.7500, 0.2671], [0.6051, 0.2500, 0.7329], [0.7950, 0.2500, 0.5295], [0.8102, 0.7500, 0.8703]], "relative_energy_mev_per_atom": 0, "formation_enthalpy_0k_ev_per_atom": -0.05, "space_group": "P2_1/m, No. 11"}


No. 3
{"formula": "Ca2AsH6", "functional": "PBE-GGA", "state": "relaxed", "cell": [[0.0000, 3.7217, 3.7217], [3.7217, 0.0000, 3.7217], [3.7217, 3.7217, 0.0000]], "species": ["Ca", "Ca", "As", "H", "H", "H", "H", "H", "H"], "fractional_positions": [[0.2500, 0.2500, 0.2500], [0.7500, 0.7500, 0.7500], [0.0000, 0.0000, 0.0000], [0.2645, 0.2645, 0.7355], [0.2645, 0.7355, 0.2645], [0.2645, 0.7355, 0.7355], [0.7355, 0.2645, 0.2645], [0.7355, 0.2645, 0.7355], [0.7355, 0.7355, 0.2645]], "energy_ev_per_cell": -27.76, "space_group": "Fm-3m, No. 225"}


No. 4
{"formula": "Ca3Pm2TaP6", "functional": "PBE-GGA", "state": "relaxed", "cell": [[3.4627, -6.0076, 0.0000], [3.4627, 6.0076, 0.0000], [-2.3486, 0.0000, 6.6627]], "species": ["Ca", "Ca", "Ca", "Pm", "Pm", "Ta", "P", "P", "P", "P", "P", "P"], "fractional_positions": [[0.0000, 0.0000, 0.0000], [0.3275, 0.6725, 0.0000], [0.6725, 0.3275, 0.0000], [0.1657, 0.8343, 0.5000], [0.8343, 0.1657, 0.5000], [0.5000, 0.5000, 0.5000], [0.1182, 0.4235, 0.2694], [0.2755, 0.2755, 0.7313], [0.4235, 0.1182, 0.2694], [0.5765, 0.8818, 0.7306], [0.7245, 0.7245, 0.2687], [0.8818, 0.5765, 0.7306]], "formation_enthalpy_0k_ev_per_atom": -1.11, "space_group": "C2/m, No. 12"}


No. 5
{"formula": "SmHf2Fe9", "functional": "PBE-GGA", "state": "relaxed", "cell": [[2.4976, 1.4420, 7.9544], [-2.4976, 1.4420, 7.9544], [0.0000, -2.8840, 7.9544]], "species": ["Sm", "Hf", "Hf", "Fe", "Fe", "Fe", "Fe", "Fe", "Fe", "Fe", "Fe", "Fe"], "fractional_positions": [[0.0000, 0.0000, 0.0000], [0.1431, 0.1431, 0.1431], [0.8569, 0.8569, 0.8569], [0.0826, 0.5870, 0.5870], [0.3329, 0.3329, 0.3329], [0.4130, 0.4130, 0.9174], [0.4130, 0.9174, 0.4130], [0.5000, 0.5000, 0.5000], [0.5870, 0.0826, 0.5870], [0.5870, 0.5870, 0.0826], [0.6671, 0.6671, 0.6671], [0.9174, 0.4130, 0.4130]], "formation_enthalpy_0k_ev_per_atom": -0.19, "space_group": "R-3m, No. 166"}


No. 6
{"formula": "KSnAs2", "functional": "PBE-GGA", "state": "relaxed", "cell": [[1.9656, 1.1349, 8.3873], [-1.9656, 1.1349, 8.3873], [0.0000, -2.2697, 8.3873]], "species": ["K", "Sn", "As", "As"], "fractional_positions": [[0.0000, 0.0000, 0.0000], [0.5000, 0.5000, 0.5000], [0.2320, 0.2320, 0.2320], [0.7680, 0.7680, 0.7680]], "formation_enthalpy_0k_ev_per_atom": -0.10, "space_group": "R-3m, No. 166"}